No. 1
Here is a relaxed structure of TbErPt2 from Alexandria via LeMat-Bulk. Energies are from PBE.

Cell: 4.455 5.602 5.602 Å, 39.32 90.00 90.00°
Element x y z (fractional)
Tb 0.000 0.000 0.000
Er 0.500 0.724 0.724
Pt 0.000 0.273 0.273
Pt 0.500 0.449 0.449

Properties
The value obtained for the formation energy is -1.289 eV per atom. The total moment comes out at 0.0 μB/f.u. The energy above the lowest structure with this stoichiometry comes out at 0.0 kJ per mole of atoms. The symmetry is Amm2 (38). The density of states at the Fermi level is 2.78 states/eV/cell.

No. 2
Here is a relaxed structure of Tb2ErPt from Alexandria via LeMat-Bulk. Energies are from PBE.

Cell: 10.743 10.743 10.743 Å, 19.80 19.80 19.80°
Element x y z (fractional)
Tb 0.109 0.109 0.109
Tb 0.891 0.891 0.891
Er 0.000 0.000 0.000
Pt 0.500 0.500 0.500

Properties
The value obtained for the formation energy is -0.277 eV per atom. The total moment comes out at 0.0 μB/f.u. The energy above the lowest structure with this stoichiometry comes out at 42.2 kJ per mole of atoms. The symmetry is R-3m (166). The density of states at the Fermi level is 6.14 states/eV/cell.

No. 3
Here is a relaxed structure of Tb2ErPt from Alexandria via LeMat-Bulk. Energies are from PBE.

Cell: 7.024 9.623 6.489 Å, 90.00 90.00 90.00°
Element x y z (fractional)
Tb 0.182 0.060 0.179
Tb 0.182 0.440 0.179
Tb 0.318 0.560 0.679
Tb 0.318 0.940 0.679
Tb 0.682 0.060 0.321
Tb 0.682 0.440 0.321
Tb 0.818 0.560 0.821
Tb 0.818 0.940 0.821
Er 0.028 0.250 0.633
Er 0.472 0.750 0.133
Er 0.528 0.250 0.867
Er 0.972 0.750 0.367
Pt 0.111 0.750 0.953
Pt 0.389 0.250 0.453
Pt 0.611 0.750 0.547
Pt 0.889 0.250 0.047

Properties
The value obtained for the formation energy is -0.715 eV per atom. The total moment comes out at 0.0 μB/f.u. The energy above the lowest structure with this stoichiometry comes out at 0.0 kJ per mole of atoms. The symmetry is Pnma (62). The density of states at the Fermi level is 16.40 states/eV/cell.

No. 4
Here is a relaxed structure of TbErZnPt from Alexandria via LeMat-Bulk. Energies are from PBE.

Cell: 3.543 3.543 6.939 Å, 90.00 90.00 90.00°
Element x y z (fractional)
Tb 0.000 0.000 0.000
Er 0.000 0.000 0.486
Zn 0.500 0.500 0.737
Pt 0.500 0.500 0.251

Properties
The value obtained for the formation energy is -0.815 eV per atom. The total moment comes out at 0.0 μB/f.u. The energy above the lowest structure with this stoichiometry comes out at 0.0 kJ per mole of atoms. The symmetry is P4mm (99). The density of states at the Fermi level is 2.81 states/eV/cell.

No. 5
Here is a relaxed structure of TbErZnPt from Alexandria via LeMat-Bulk. Energies are from PBE.

Cell: 4.972 4.972 4.972 Å, 60.00 60.00 60.00°
Element x y z (fractional)
Tb 0.000 0.000 0.000
Er 0.500 0.500 0.500
Zn 0.250 0.250 0.250
Pt 0.750 0.750 0.750

Properties
The value obtained for the formation energy is -0.799 eV per atom. The total moment comes out at 0.0 μB/f.u. The energy above the lowest structure with this stoichiometry comes out at 1.6 kJ per mole of atoms. The symmetry is F-43m (216). The density of states at the Fermi level is 2.64 states/eV/cell.

No. 6
Here is a relaxed structure of Er4TcPt from Alexandria via LeMat-Bulk. Energies are from PBE.

Cell: 7.410 4.303 18.215 Å, 90.00 90.00 90.00°
Element x y z (fractional)
Er 0.009 0.250 0.073
Er 0.070 0.250 0.781
Er 0.092 0.250 0.353
Er 0.149 0.250 0.543
Er 0.351 0.750 0.043
Er 0.408 0.750 0.853
Er 0.430 0.750 0.281
Er 0.491 0.750 0.573
Er 0.509 0.250 0.427
Er 0.570 0.250 0.719
Er 0.592 0.250 0.147
Er 0.649 0.250 0.957
Er 0.851 0.750 0.457
Er 0.908 0.750 0.647
Er 0.930 0.750 0.219
Er 0.991 0.750 0.927
Tc 0.250 0.250 0.938
Tc 0.250 0.750 0.438
Tc 0.750 0.250 0.562
Tc 0.750 0.750 0.062
Pt 0.223 0.250 0.205
Pt 0.277 0.750 0.705
Pt 0.723 0.250 0.295
Pt 0.777 0.750 0.795

Properties
The value obtained for the formation energy is -0.553 eV per atom. The total moment comes out at 0.0 μB/f.u. The symmetry is Pnma (62). The density of states at the Fermi level is 16.15 states/eV/cell.

No. 7
Here is a relaxed structure of Er2TcPt from Alexandria via LeMat-Bulk. Energies are from PBE.

Cell: 3.473 3.473 6.679 Å, 90.00 90.00 90.00°
Element x y z (fractional)
Er 0.000 0.000 0.247
Er 0.000 0.000 0.753
Tc 0.500 0.500 0.000
Pt 0.500 0.500 0.500

Properties
The value obtained for the formation energy is -0.630 eV per atom. The total moment comes out at 0.0 μB/f.u. The symmetry is P4/mmm (123). The density of states at the Fermi level is 4.71 states/eV/cell.

No. 8
Here is a relaxed structure of Er6Tc2Pt from Alexandria via LeMat-Bulk. Energies are from PBE.

Cell: 8.279 8.279 8.279 Å, 110.93 109.95 107.56°
Element x y z (fractional)
Er 0.027 0.835 0.192
Er 0.256 0.324 0.581
Er 0.256 0.676 0.932
Er 0.264 0.569 0.305
Er 0.264 0.958 0.695
Er 0.357 0.165 0.192
Er 0.643 0.835 0.808
Er 0.736 0.042 0.305
Er 0.736 0.431 0.695
Er 0.744 0.324 0.068
Er 0.744 0.676 0.419
Er 0.973 0.165 0.808
Tc 0.000 0.172 0.172
Tc 0.000 0.828 0.828
Tc 0.383 0.383 0.000
Tc 0.617 0.617 0.000
Pt 0.000 0.500 0.500
Pt 0.500 0.000 0.500

Properties
The value obtained for the formation energy is -0.352 eV per atom. The total moment comes out at 0.0 μB/f.u. The symmetry is Immm (71). The density of states at the Fermi level is 17.84 states/eV/cell.

No. 9
Here is a relaxed structure of Er5Te2Pt from Alexandria via LeMat-Bulk. Energies are from PBE.

Cell: 8.407 8.407 13.405 Å, 90.00 90.00 143.17°
Element x y z (fractional)
Er 0.098 0.902 0.610
Er 0.098 0.902 0.890
Er 0.260 0.740 0.250
Er 0.313 0.687 0.566
Er 0.313 0.687 0.934
Er 0.687 0.313 0.066
Er 0.687 0.313 0.434
Er 0.740 0.260 0.750
Er 0.902 0.098 0.110
Er 0.902 0.098 0.390
Te 0.092 0.908 0.116
Te 0.092 0.908 0.384
Te 0.908 0.092 0.616
Te 0.908 0.092 0.884
Pt 0.223 0.777 0.750
Pt 0.777 0.223 0.250

Properties
The value obtained for the uncorrected formation energy is -61 kJ per mole of atoms. The total moment comes out at 0.0 μB/f.u. The symmetry is Cmcm (63). The density of states at the Fermi level is 14.05 states/eV/cell.

No. 10
Here is a relaxed structure of Er3TePt from Alexandria via LeMat-Bulk. Energies are from PBE.

Cell: 6.997 6.997 10.252 Å, 90.00 90.00 146.26°
Element x y z (fractional)
Er 0.069 0.931 0.750
Er 0.365 0.635 0.554
Er 0.365 0.635 0.946
Er 0.635 0.365 0.054
Er 0.635 0.365 0.446
Er 0.931 0.069 0.250
Te 0.251 0.749 0.250
Te 0.749 0.251 0.750
Pt 0.000 0.000 0.000
Pt 0.000 0.000 0.500

Properties
The value obtained for the uncorrected formation energy is -96 kJ per mole of atoms. The total moment comes out at 0.0 μB/f.u. The symmetry is Cmcm (63). The density of states at the Fermi level is 6.43 states/eV/cell.